Crystalline NaCo at its relaxed geometry. Source: Alexandria via LeMat-Bulk, functional PBE.

Geometry as CIF:
```
data_NaCo
_symmetry_space_group_name_H-M 'I 4/m m m'
_symmetry_Int_Tables_number 139
_symmetry_space_group_name_Hall '-I 4 2'
_cell_length_a 10.7342
_cell_length_b 10.7342
_cell_length_c 3.5417
_cell_angle_alpha 90.00
_cell_angle_beta 90.00
_cell_angle_gamma 90.00
loop_
_atom_site_label
_atom_site_type_symbol
_atom_site_fract_x
_atom_site_fract_y
_atom_site_fract_z
Na1 Na 0.0000 0.2819 0.0000
Co1 Co 0.2089 0.2089 0.5000
```

## Properties
Theoretical density = 2.67 Mg/m³
Uncorrected energy = -3.438 eV per atom
ΔH_f (0 K) = 774 meV/atom

Crystalline MgCu2Se2 at its relaxed geometry. Source: Alexandria via LeMat-Bulk, functional PBE.

Geometry as CIF:
```
data_MgCu2Se2
_symmetry_space_group_name_H-M 'C m c 21'
_symmetry_Int_Tables_number 36
_cell_length_a 3.7172
_cell_length_b 14.8548
_cell_length_c 6.8935
_cell_angle_alpha 90.00
_cell_angle_beta 90.00
_cell_angle_gamma 90.00
loop_
_symmetry_equiv_pos_as_xyz
'x,y,z'
'-x,-y,z+1/2'
'-x,y,z'
'x,-y,z+1/2'
'x+1/2,y+1/2,z'
'-x+1/2,-y+1/2,z+1/2'
'-x+1/2,y+1/2,z'
'x+1/2,-y+1/2,z+1/2'
loop_
_atom_site_label
_atom_site_type_symbol
_atom_site_fract_x
_atom_site_fract_y
_atom_site_fract_z
Mg1 Mg 0.0000 0.0701 0.0000
Cu1 Cu 0.0000 0.1552 0.6153
Cu2 Cu 0.0000 0.2722 0.3310
Se1 Se 0.0000 0.3145 0.6692
Se2 Se 0.0000 0.4478 0.1868
```

## Properties
Theoretical density = 5.40 Mg/m³
ΔE_f (raw) = -0.406 eV per atom
Uncorrected energy = -3.758 eV per atom
Energy relative to the lowest polymorph listed for this composition = 0.51 eV/f.u.

Crystalline YbCeHg2 at its relaxed geometry. Source: Alexandria via LeMat-Bulk, functional PBE.

Geometry as CIF:
```
data_YbCeHg2
_symmetry_space_group_name_H-M 'F m -3 m'
_symmetry_Int_Tables_number 225
_symmetry_space_group_name_Hall '-F 4 2 3'
_cell_length_a 7.5863
_cell_length_b 7.5863
_cell_length_c 7.5863
_cell_angle_alpha 90.00
_cell_angle_beta 90.00
_cell_angle_gamma 90.00
loop_
_atom_site_label
_atom_site_type_symbol
_atom_site_fract_x
_atom_site_fract_y
_atom_site_fract_z
Yb1 Yb 0.0000 0.0000 0.0000
Ce1 Ce 0.0000 0.0000 0.5000
Hg1 Hg 0.2500 0.2500 0.2500
```

## Properties
Theoretical density = 10.87 Mg/m³
Uncorrected energy = -2.480 eV per atom
ΔH_f (0 K) = -464 meV/atom

Crystalline KTl2PbCl6 at its relaxed geometry. Source: Alexandria via LeMat-Bulk, functional PBE.

Geometry as CIF:
```
data_KTl2PbCl6
_symmetry_space_group_name_H-M 'P 1 21/c 1'
_symmetry_Int_Tables_number 14
_cell_length_a 7.4769
_cell_length_b 8.2539
_cell_length_c 12.9227
_cell_angle_alpha 90.00
_cell_angle_beta 122.40
_cell_angle_gamma 90.00
loop_
_symmetry_equiv_pos_as_xyz
'x,y,z'
'-x,-y,-z'
'-x,y+1/2,-z+1/2'
'x,-y+1/2,z+1/2'
loop_
_atom_site_label
_atom_site_type_symbol
_atom_site_fract_x
_atom_site_fract_y
_atom_site_fract_z
K1 K 0.0000 0.0000 0.0000
Tl1 Tl 0.2093 0.0683 0.7349
Pb1 Pb 0.5000 0.0000 0.5000
Cl1 Cl 0.1509 0.1685 0.4604
Cl2 Cl 0.2585 0.7220 0.4188
Cl3 Cl 0.3956 0.0672 0.2652
```

## Properties
Theoretical density = 4.28 Mg/m³
ΔE_f (raw) = -1.131 eV per atom
Uncorrected energy = -3.193 eV per atom

Crystalline Ho3TlSn at its relaxed geometry. Source: Alexandria via LeMat-Bulk, functional PBE.

Geometry as CIF:
```
data_Ho3TlSn
_symmetry_space_group_name_H-M 'C 1 m 1'
_symmetry_Int_Tables_number 8
_cell_length_a 15.2335
_cell_length_b 6.7617
_cell_length_c 8.3492
_cell_angle_alpha 90.00
_cell_angle_beta 120.46
_cell_angle_gamma 90.00
loop_
_symmetry_equiv_pos_as_xyz
'x,y,z'
'x,-y,z'
'x+1/2,y+1/2,z'
'x+1/2,-y+1/2,z'
loop_
_atom_site_label
_atom_site_type_symbol
_atom_site_fract_x
_atom_site_fract_y
_atom_site_fract_z
Ho1 Ho 0.0000 0.0000 0.0000
Ho2 Ho 0.0987 0.2460 0.7555
Ho3 Ho 0.1912 0.2554 0.3762
Ho4 Ho 0.3070 0.5000 0.1549
Tl1 Tl 0.2642 0.5000 0.7515
Tl2 Tl 0.3979 0.5000 0.5720
Sn1 Sn 0.0573 0.5000 0.0257
Sn2 Sn 0.2383 0.0000 0.1162
```

## Properties
Theoretical density = 7.33 Mg/m³
Uncorrected energy = -3.991 eV per atom
ΔH_f (0 K) = 30 meV/atom

Crystalline NaCeTlF6 at its relaxed geometry. Source: Alexandria via LeMat-Bulk, functional PBE.

Geometry as CIF:
```
data_NaCeTlF6
_symmetry_space_group_name_H-M 'P -3 1 c'
_symmetry_Int_Tables_number 163
_symmetry_space_group_name_Hall '-P 3 2c'
_cell_length_a 6.1897
_cell_length_b 6.1897
_cell_length_c 11.1595
_cell_angle_alpha 90.00
_cell_angle_beta 90.00
_cell_angle_gamma 120.00
loop_
_atom_site_label
_atom_site_type_symbol
_atom_site_fract_x
_atom_site_fract_y
_atom_site_fract_z
Na1 Na 0.3333 0.6667 0.2500
Ce1 Ce 0.3333 0.6667 0.7500
Tl1 Tl 0.0000 0.0000 0.0000
F1 F 0.0217 0.3837 0.6458
```

## Properties
Theoretical density = 4.32 Mg/m³
ΔE_f (raw) = -3.125 eV per atom
Uncorrected energy = -5.441 eV per atom

Crystalline La2Tb3YSe6 at its relaxed geometry. Source: Alexandria via LeMat-Bulk, functional PBE.

Geometry as CIF:
```
data_La2Tb3YSe6
_symmetry_space_group_name_H-M 'C 1 2/m 1'
_symmetry_Int_Tables_number 12
_cell_length_a 18.1739
_cell_length_b 4.1408
_cell_length_c 8.4011
_cell_angle_alpha 90.00
_cell_angle_beta 103.71
_cell_angle_gamma 90.00
loop_
_symmetry_equiv_pos_as_xyz
'x,y,z'
'-x,-y,-z'
'-x,y,-z'
'x,-y,z'
'x+1/2,y+1/2,z'
'-x+1/2,-y+1/2,-z'
'-x+1/2,y+1/2,-z'
'x+1/2,-y+1/2,z'
loop_
_atom_site_label
_atom_site_type_symbol
_atom_site_fract_x
_atom_site_fract_y
_atom_site_fract_z
La1 La 0.1665 0.0000 0.3339
Tb1 Tb 0.0000 0.5000 0.5000
Tb2 Tb 0.1694 0.0000 0.8341
Y1 Y 0.0000 0.5000 0.0000
Se1 Se 0.0049 0.0000 0.7532
Se2 Se 0.1627 0.5000 0.5929
Se3 Se 0.1649 0.5000 0.0712
```

## Properties
Theoretical density = 7.12 Mg/m³
ΔE_f (raw) = -1.845 eV per atom
Uncorrected energy = -6.105 eV per atom

Crystalline Be3Te5 at its relaxed geometry. Source: Alexandria via LeMat-Bulk, functional PBE.

Geometry as CIF:
```
data_Be3Te5
_symmetry_space_group_name_H-M 'P 4/m m m'
_symmetry_Int_Tables_number 123
_symmetry_space_group_name_Hall '-P 4 2'
_cell_length_a 3.5568
_cell_length_b 3.5568
_cell_length_c 15.4142
_cell_angle_alpha 90.00
_cell_angle_beta 90.00
_cell_angle_gamma 90.00
loop_
_atom_site_label
_atom_site_type_symbol
_atom_site_fract_x
_atom_site_fract_y
_atom_site_fract_z
Be1 Be 0.0000 0.0000 0.0000
Be2 Be 0.5000 0.5000 0.2606
Te1 Te 0.0000 0.0000 0.3046
Te2 Te 0.0000 0.0000 0.5000
Te3 Te 0.5000 0.5000 0.1019
```

## Properties
Theoretical density = 5.66 Mg/m³
ΔE_f (raw) = 0.278 eV per atom
Uncorrected energy = -3.082 eV per atom
Energy relative to the lowest polymorph listed for this composition = 2.37 eV/f.u.

Crystalline ScTlAg2 at its relaxed geometry. Source: Alexandria via LeMat-Bulk, functional PBE.

Geometry as CIF:
```
data_ScTlAg2
_symmetry_space_group_name_H-M 'P m m m'
_symmetry_Int_Tables_number 47
_cell_length_a 3.6459
_cell_length_b 3.6566
_cell_length_c 6.3733
_cell_angle_alpha 90.00
_cell_angle_beta 90.00
_cell_angle_gamma 90.00
loop_
_symmetry_equiv_pos_as_xyz
'x,y,z'
'-x,-y,-z'
'-x,-y,z'
'x,y,-z'
'x,-y,-z'
'-x,y,z'
'-x,y,-z'
'x,-y,z'
loop_
_atom_site_label
_atom_site_type_symbol
_atom_site_fract_x
_atom_site_fract_y
_atom_site_fract_z
Sc1 Sc 0.0000 0.0000 0.0000
Tl1 Tl 0.0000 0.0000 0.5000
Ag1 Ag 0.5000 0.5000 0.2268
```

## Properties
Theoretical density = 9.09 Mg/m³
Uncorrected energy = -3.726 eV per atom
ΔH_f (0 K) = -126 meV/atom

Crystalline LaPrCo at its relaxed geometry. Source: Alexandria via LeMat-Bulk, functional PBE.

Geometry as CIF:
```
data_LaPrCo
_symmetry_space_group_name_H-M 'P -1'
_symmetry_Int_Tables_number 2
_cell_length_a 3.8614
_cell_length_b 7.0931
_cell_length_c 7.5019
_cell_angle_alpha 61.85
_cell_angle_beta 89.96
_cell_angle_gamma 74.36
loop_
_symmetry_equiv_pos_as_xyz
'x,y,z'
'-x,-y,-z'
loop_
_atom_site_label
_atom_site_type_symbol
_atom_site_fract_x
_atom_site_fract_y
_atom_site_fract_z
La1 La 0.0083 0.4796 0.2493
Pr1 Pr 0.2649 0.9711 0.2261
Co1 Co 0.4018 0.6953 0.9851
```

## Properties
Theoretical density = 6.52 Mg/m³
Uncorrected energy = -5.678 eV per atom
ΔH_f (0 K) = -73 meV/atom
Energy relative to the lowest polymorph listed for this composition = 0.04 eV/f.u.

Copy entry 4 word for word.
Crystalline KTl2PbCl6 at its relaxed geometry. Source: Alexandria via LeMat-Bulk, functional PBE.

Geometry as CIF:
```
data_KTl2PbCl6
_symmetry_space_group_name_H-M 'P 1 21/c 1'
_symmetry_Int_Tables_number 14
_cell_length_a 7.4769
_cell_length_b 8.2539
_cell_length_c 12.9227
_cell_angle_alpha 90.00
_cell_angle_beta 122.40
_cell_angle_gamma 90.00
loop_
_symmetry_equiv_pos_as_xyz
'x,y,z'
'-x,-y,-z'
'-x,y+1/2,-z+1/2'
'x,-y+1/2,z+1/2'
loop_
_atom_site_label
_atom_site_type_symbol
_atom_site_fract_x
_atom_site_fract_y
_atom_site_fract_z
K1 K 0.0000 0.0000 0.0000
Tl1 Tl 0.2093 0.0683 0.7349
Pb1 Pb 0.5000 0.0000 0.5000
Cl1 Cl 0.1509 0.1685 0.4604
Cl2 Cl 0.2585 0.7220 0.4188
Cl3 Cl 0.3956 0.0672 0.2652
```

## Properties
Theoretical density = 4.28 Mg/m³
ΔE_f (raw) = -1.131 eV per atom
Uncorrected energy = -3.193 eV per atom

Please write out number 7 again, unchanged.
Crystalline La2Tb3YSe6 at its relaxed geometry. Source: Alexandria via LeMat-Bulk, functional PBE.

Geometry as CIF:
```
data_La2Tb3YSe6
_symmetry_space_group_name_H-M 'C 1 2/m 1'
_symmetry_Int_Tables_number 12
_cell_length_a 18.1739
_cell_length_b 4.1408
_cell_length_c 8.4011
_cell_angle_alpha 90.00
_cell_angle_beta 103.71
_cell_angle_gamma 90.00
loop_
_symmetry_equiv_pos_as_xyz
'x,y,z'
'-x,-y,-z'
'-x,y,-z'
'x,-y,z'
'x+1/2,y+1/2,z'
'-x+1/2,-y+1/2,-z'
'-x+1/2,y+1/2,-z'
'x+1/2,-y+1/2,z'
loop_
_atom_site_label
_atom_site_type_symbol
_atom_site_fract_x
_atom_site_fract_y
_atom_site_fract_z
La1 La 0.1665 0.0000 0.3339
Tb1 Tb 0.0000 0.5000 0.5000
Tb2 Tb 0.1694 0.0000 0.8341
Y1 Y 0.0000 0.5000 0.0000
Se1 Se 0.0049 0.0000 0.7532
Se2 Se 0.1627 0.5000 0.5929
Se3 Se 0.1649 0.5000 0.0712
```

## Properties
Theoretical density = 7.12 Mg/m³
ΔE_f (raw) = -1.845 eV per atom
Uncorrected energy = -6.105 eV per atom